This record from Alexandria describes a geometry-optimized KSr3Ru structure. The functional is PBE.

## Properties
ΔH_f (0 K): 0.25 eV per atom
Offset from the most stable computed form: 0 meV/atom
N(E_F): 9.0 states/eV per cell

abc: 6.023 6.023 6.023
angles: 90.00 90.00 90.00
Element x y z (fractional)
K 0.000 0.000 0.000
Sr 0.000 0.500 0.500
Sr 0.500 0.000 0.500
Sr 0.500 0.500 0.000
Ru 0.500 0.500 0.500



This record from Alexandria describes a geometry-optimized Ca3Al2SiAu6 structure. The functional is PBE.

## Properties
Formation energy without anion corrections: -0.430 eV per atom
N(E_F): 4.0 states/eV per cell

abc: 6.116 6.116 8.321
angles: 90.00 90.00 120.00
Element x y z (fractional)
Ca 0.000 0.000 0.000
Ca 0.333 0.667 0.631
Ca 0.667 0.333 0.369
Al 0.333 0.667 0.043
Al 0.667 0.333 0.957
Si 0.000 0.000 0.500
Au 0.174 0.348 0.290
Au 0.174 0.826 0.290
Au 0.348 0.174 0.710
Au 0.652 0.826 0.290
Au 0.826 0.174 0.710
Au 0.826 0.652 0.710



This record from Alexandria describes a geometry-optimized PtRhN structure. The functional is PBE.

## Properties
Offset from the most stable computed form: 68 meV/atom
Formation energy without anion corrections: 0.241 eV per atom
N(E_F): 6.3 states/eV per cell

abc: 11.102 11.102 11.102
angles: 165.60 165.60 20.42
Element x y z (fractional)
Pt 0.000 0.000 0.000
Pt 0.179 0.179 0.000
Rh 0.409 0.409 0.000
Rh 0.587 0.587 0.000
N 0.270 0.270 0.000
N 0.322 0.322 0.000



This record from Alexandria describes a geometry-optimized La2Pm2Nd2Y structure. The functional is PBE.

## Properties
ΔH_f (0 K): 0.02 eV per atom
N(E_F): 12.4 states/eV per cell

abc: 6.376 6.376 8.206
angles: 97.50 97.50 48.27
Element x y z (fractional)
La 0.143 0.143 0.427
La 0.857 0.857 0.573
Pm 0.285 0.285 0.860
Pm 0.715 0.715 0.140
Nd 0.429 0.429 0.283
Nd 0.571 0.571 0.717
Y 0.000 0.000 0.000



This record from Alexandria describes a geometry-optimized RbAgP2 structure. The functional is PBE.

## Properties
ΔH_f (0 K): -0.16 eV per atom
Offset from the most stable computed form: 0 meV/atom

abc: 6.528 5.497 12.593
angles: 90.00 99.24 90.00
Element x y z (fractional)
Rb 0.226 0.110 0.261
Rb 0.226 0.390 0.761
Rb 0.774 0.610 0.239
Rb 0.774 0.890 0.739
Ag 0.261 0.518 0.495
Ag 0.261 0.982 0.995
Ag 0.739 0.018 0.005
Ag 0.739 0.482 0.505
P 0.125 0.595 0.058
P 0.125 0.905 0.558
P 0.412 0.115 0.552
P 0.412 0.385 0.052
P 0.588 0.615 0.948
P 0.588 0.885 0.448
P 0.875 0.095 0.442
P 0.875 0.405 0.942



This record from Alexandria describes a geometry-optimized AlAu2Se structure. The functional is PBE.

## Properties
Formation energy without anion corrections: 0.134 eV per atom
N(E_F): 3.7 states/eV per cell

abc: 4.739 4.739 4.739
angles: 60.00 60.00 60.00
Element x y z (fractional)
Al 0.000 0.000 0.000
Au 0.250 0.250 0.250
Au 0.750 0.750 0.750
Se 0.500 0.500 0.500



Short version: total magnetization = 0.00; 0.00; 0.00; 0.00; 0.00; 0.00 μB/f.u., in the order given.